A PBEsol-optimized structure of Sb3Au2, computed with meta-GGA SCAN.

Results
Space group: P-3m1
E (eV for the cell shown): -250.11
Total magnetic moment (μB per atom): 0.000
Fermi-level density of states (states/eV/atom): 0.496

a b c (Å): 4.5325 4.5325 6.8771
angles (deg): 90.00 90.00 120.00
Atoms (fractional coordinates):
Sb 0.0000 0.0000 0.0000
Sb 0.3333 0.6667 0.3401
Sb 0.6667 0.3333 0.6599
Au 0.3333 0.6667 0.7796
Au 0.6667 0.3333 0.2204

---

A PBEsol-optimized structure of CuIr2Au, computed with meta-GGA SCAN.

Results
Space group: C2/m
Formation energy from the elements (eV/atom): 0.22
Total magnetic moment (μB per atom): 0.000
Fermi-level density of states (states/eV/atom): 0.937

a b c (Å): 9.0771 2.7255 4.6715
angles (deg): 90.00 101.49 90.00
Atoms (fractional coordinates):
Cu 0.0000 0.0000 0.0000
Cu 0.5000 0.5000 0.0000
Ir 0.2403 0.5000 0.2363
Ir 0.2597 0.0000 0.7637
Ir 0.7403 0.0000 0.2363
Ir 0.7597 0.5000 0.7637
Au 0.0000 0.5000 0.5000
Au 0.5000 0.0000 0.5000

---

A PBEsol-optimized structure of BaScO3, computed with meta-GGA SCAN.

Results
Space group: Pm-3m
E (eV for the cell shown): -87.83
Total magnetic moment (μB per atom): 0.201
Fermi-level density of states (states/eV/atom): 0.693

a b c (Å): 4.1609 4.1609 4.1609
angles (deg): 90.00 90.00 90.00
Atoms (fractional coordinates):
Ba 0.0000 0.0000 0.0000
Sc 0.5000 0.5000 0.5000
O 0.0000 0.5000 0.5000
O 0.5000 0.0000 0.5000
O 0.5000 0.5000 0.0000

---

A PBEsol-optimized structure of Tm2Ga3Ni, computed with meta-GGA SCAN.

Results
Space group: Cm
Formation energy from the elements (eV/atom): -0.75
Total magnetic moment (μB per atom): 0.000
Fermi-level density of states (states/eV/atom): 0.430

a b c (Å): 9.9292 4.2581 6.8603
angles (deg): 90.00 132.44 90.00
Atoms (fractional coordinates):
Tm 0.0000 0.0000 0.0000
Tm 0.0866 0.0000 0.5886
Tm 0.5000 0.5000 0.0000
Tm 0.5866 0.5000 0.5886
Ga 0.2102 0.5000 0.3896
Ga 0.3709 0.0000 0.1734
Ga 0.3983 0.0000 0.6138
Ga 0.7102 0.0000 0.3896
Ga 0.8709 0.5000 0.1734
Ga 0.8983 0.5000 0.6138
Ni 0.2152 0.5000 0.0150
Ni 0.7152 0.0000 0.0150

---

A PBEsol-optimized structure of K2ZrRu, computed with meta-GGA SCAN.

Results
Space group: P4/mmm
Formation energy from the elements (eV/atom): 0.85
Total magnetic moment (μB per atom): 0.220
Fermi-level density of states (states/eV/atom): 0.669

a b c (Å): 3.9003 3.9003 6.1162
angles (deg): 90.00 90.00 90.00
Atoms (fractional coordinates):
K 0.0000 0.5000 0.0000
K 0.5000 0.0000 0.0000
Zr 0.0000 0.0000 0.5000
Ru 0.5000 0.5000 0.5000

---

A PBEsol-optimized structure of CdTcTe3, computed with meta-GGA SCAN.

Results
Space group: Pm-3m
E (eV for the cell shown): -171.31
Total magnetic moment (μB per atom): 0.897
Fermi-level density of states (states/eV/atom): 0.888

a b c (Å): 5.4370 5.4370 5.4370
angles (deg): 90.00 90.00 90.00
Atoms (fractional coordinates):
Cd 0.0000 0.0000 0.0000
Tc 0.5000 0.5000 0.5000
Te 0.0000 0.0000 0.5000
Te 0.0000 0.5000 0.0000
Te 0.5000 0.0000 0.0000

---

A PBEsol-optimized structure of SrIn2Hg, computed with meta-GGA SCAN.

Results
Space group: P4/mmm
Formation energy from the elements (eV/atom): -0.31
Total magnetic moment (μB per atom): 0.000
Fermi-level density of states (states/eV/atom): 0.492

a b c (Å): 3.7905 3.7905 7.5481
angles (deg): 90.00 90.00 90.00
Atoms (fractional coordinates):
Sr 0.0000 0.0000 0.0000
In 0.5000 0.5000 0.2956
In 0.5000 0.5000 0.7044
Hg 0.0000 0.0000 0.5000

---

A PBEsol-optimized structure of HoMo6S8, computed with meta-GGA SCAN.

Results
Space group: R-3
E (eV for the cell shown): -350.46
Total magnetic moment (μB per atom): 0.000
Fermi-level density of states (states/eV/atom): 0.386

a b c (Å): 6.3778 6.3778 6.3778
angles (deg): 88.98 88.98 88.98
Atoms (fractional coordinates):
Ho 0.0000 0.0000 0.0000
Mo 0.2206 0.5610 0.4202
Mo 0.4202 0.2206 0.5610
Mo 0.4390 0.5798 0.7794
Mo 0.5610 0.4202 0.2206
Mo 0.5798 0.7794 0.4390
Mo 0.7794 0.4390 0.5798
S 0.1274 0.3691 0.7568
S 0.2377 0.2377 0.2377
S 0.2432 0.8726 0.6309
S 0.3691 0.7568 0.1274
S 0.6309 0.2432 0.8726
S 0.7568 0.1274 0.3691
S 0.7623 0.7623 0.7623
S 0.8726 0.6309 0.2432

---

A PBEsol-optimized structure of Ca2TlCd2, computed with meta-GGA SCAN.

Results
Space group: P4/mbm
Formation energy from the elements (eV/atom): -0.37
Total magnetic moment (μB per atom): 0.000
Fermi-level density of states (states/eV/atom): 0.623

a b c (Å): 8.0315 8.0315 4.1849
angles (deg): 90.00 90.00 90.00
Atoms (fractional coordinates):
Ca 0.1737 0.3263 0.0000
Ca 0.3263 0.8263 0.0000
Ca 0.6737 0.1737 0.0000
Ca 0.8263 0.6737 0.0000
Tl 0.0000 0.0000 0.5000
Tl 0.5000 0.5000 0.5000
Cd 0.1252 0.6252 0.5000
Cd 0.3748 0.1252 0.5000
Cd 0.6252 0.8748 0.5000
Cd 0.8748 0.3748 0.5000

---

A PBEsol-optimized structure of ScGeSb2Te, computed with meta-GGA SCAN.

Results
Space group: P4/mmm
E (eV for the cell shown): -143.08
Total magnetic moment (μB per atom): 0.000
Fermi-level density of states (states/eV/atom): 0.815

a b c (Å): 5.1711 5.1711 5.3661
angles (deg): 90.00 90.00 90.00
Atoms (fractional coordinates):
Sc 0.0000 0.0000 0.0000
Ge 0.5000 0.5000 0.5000
Sb 0.0000 0.5000 0.5000
Sb 0.5000 0.0000 0.5000
Te 0.5000 0.5000 0.0000

---

A PBEsol-optimized structure of MnNbAg2Pd, computed with meta-GGA SCAN.

Results
Space group: P4/mmm
Formation energy from the elements (eV/atom): 1.50
Total magnetic moment (μB per atom): 0.183
Fermi-level density of states (states/eV/atom): 0.610

a b c (Å): 4.9841 4.9841 4.2851
angles (deg): 90.00 90.00 90.00
Atoms (fractional coordinates):
Mn 0.0000 0.0000 0.0000
Nb 0.0000 0.0000 0.5000
Ag 0.0000 0.5000 0.5000
Ag 0.5000 0.0000 0.5000
Pd 0.5000 0.5000 0.0000

---

A PBEsol-optimized structure of Tc3MoAs, computed with meta-GGA SCAN.

Results
Space group: Pm-3m
Formation energy from the elements (eV/atom): 1.83
Total magnetic moment (μB per atom): 0.392
Fermi-level density of states (states/eV/atom): 1.113

a b c (Å): 4.5868 4.5868 4.5868
angles (deg): 90.00 90.00 90.00
Atoms (fractional coordinates):
Tc 0.0000 0.0000 0.5000
Tc 0.0000 0.5000 0.0000
Tc 0.5000 0.0000 0.0000
Mo 0.0000 0.0000 0.0000
As 0.5000 0.5000 0.5000

---

Copy entry 2 word for word.
A PBEsol-optimized structure of CuIr2Au, computed with meta-GGA SCAN.

Results
Space group: C2/m
Formation energy from the elements (eV/atom): 0.22
Total magnetic moment (μB per atom): 0.000
Fermi-level density of states (states/eV/atom): 0.937

a b c (Å): 9.0771 2.7255 4.6715
angles (deg): 90.00 101.49 90.00
Atoms (fractional coordinates):
Cu 0.0000 0.0000 0.0000
Cu 0.5000 0.5000 0.0000
Ir 0.2403 0.5000 0.2363
Ir 0.2597 0.0000 0.7637
Ir 0.7403 0.0000 0.2363
Ir 0.7597 0.5000 0.7637
Au 0.0000 0.5000 0.5000
Au 0.5000 0.0000 0.5000